1.
{
  "formula": "Ho8Cu2Ag",
  "functional": "GGA-PBE",
  "state": "optimized geometry",
  "lattice_angstrom": [[-3.0427, 1.1517, 3.8712], [-2.0687, -6.4806, 0.3019], [8.4841, 0.2088, 3.3036]],
  "species": ["Ho", "Ho", "Ho", "Ho", "Ho", "Ho", "Ho", "Ho", "Ag", "Cu", "Cu"],
  "frac_coords": [[0.5937, 0.4669, 0.1875], [0.4063, 0.5331, 0.8125], [0.3264, 0.0155, 0.6528], [0.0329, 0.7774, 0.0658], [0.9671, 0.2226, 0.9342], [0.8016, 0.6708, 0.6032], [0.6736, 0.9845, 0.3472], [0.1984, 0.3292, 0.3968], [0.5000, 0.0000, 0.0000], [0.1821, 0.7198, 0.3642], [0.8179, 0.2802, 0.6358]],
  "formation_energy_ev_per_atom": -0.1222,
  "energy_ev_per_fu": -49.0,
  "n_ef_per_ev_atom": 0.92,
  "spacegroup": "C2/m (12)"
}



2.
{
  "formula": "Ho6Cu2Ag",
  "functional": "GGA-PBE",
  "state": "optimized geometry",
  "lattice_angstrom": [[7.8802, 0.0682, -2.8685], [-4.1311, 6.8814, -2.4312], [-0.0812, -0.0682, 8.3856]],
  "species": ["Ho", "Ho", "Ho", "Ho", "Ho", "Ho", "Ho", "Ho", "Ho", "Ho", "Ho", "Ho", "Ag", "Ag", "Cu", "Cu", "Cu", "Cu"],
  "frac_coords": [[0.1910, 0.2444, 0.4354], [0.8090, 0.2444, 0.0534], [0.8090, 0.7556, 0.5646], [0.6977, 0.0212, 0.3234], [0.0955, 0.2765, 0.8190], [0.4575, 0.2765, 0.1810], [0.3023, 0.6257, 0.3234], [0.6977, 0.3743, 0.6766], [0.9045, 0.7235, 0.1810], [0.3023, 0.9788, 0.6766], [0.1910, 0.7556, 0.9466], [0.5425, 0.7235, 0.8190], [0.0000, 0.5000, 0.5000], [0.0000, 0.0000, 0.0000], [0.3517, 0.0000, 0.3517], [0.6483, 0.0000, 0.6483], [0.5000, 0.6203, 0.1203], [0.5000, 0.3797, 0.8797]],
  "formation_energy_ev_per_atom": -0.1694,
  "energy_ev_per_fu": -40.0,
  "n_ef_per_ev_atom": 1.12,
  "spacegroup": "Immm (71)"
}



3.
{
  "formula": "Ho3Cu8Ag",
  "functional": "GGA-PBE",
  "state": "optimized geometry",
  "lattice_angstrom": [[4.9214, 0.0000, 1.4856], [2.2365, 4.3839, 1.4856], [-0.0202, -0.0124, 8.9612]],
  "species": ["Cu", "Cu", "Cu", "Cu", "Cu", "Cu", "Cu", "Cu", "Ho", "Ho", "Ho", "Ag"],
  "frac_coords": [[0.9383, 0.4368, 0.6867], [0.4338, 0.9445, 0.1879], [0.6866, 0.6866, 0.9402], [0.4368, 0.9383, 0.6867], [0.9445, 0.4338, 0.1879], [0.1880, 0.1880, 0.4360], [0.4338, 0.4338, 0.1879], [0.9383, 0.9383, 0.6867], [0.9914, 0.9914, 0.0259], [0.5081, 0.5081, 0.4758], [0.3790, 0.3790, 0.8631], [0.8717, 0.8717, 0.3850]],
  "formation_energy_ev_per_atom": -0.2054,
  "energy_ev_per_fu": -51.8,
  "n_ef_per_ev_atom": 0.68,
  "spacegroup": "R3m (160)"
}



4.
{
  "formula": "Ho7Cu2Ag2",
  "functional": "GGA-PBE",
  "state": "optimized geometry",
  "lattice_angstrom": [[6.5930, -0.0027, -0.9528], [0.0030, 7.1224, 0.0033], [-1.3617, -0.0021, 6.5209]],
  "species": ["Ho", "Ho", "Ho", "Ho", "Ho", "Ho", "Ho", "Ag", "Ag", "Cu", "Cu"],
  "frac_coords": [[0.0000, 0.0000, 0.0000], [0.5003, 0.7383, 0.9998], [0.4997, 0.2617, 0.0002], [0.0002, 0.7383, 0.4997], [0.9998, 0.2617, 0.5003], [0.5002, 0.7504, 0.4998], [0.4998, 0.2496, 0.5002], [0.8201, 0.5000, 0.8201], [0.1799, 0.5000, 0.1799], [0.2976, 0.0000, 0.7024], [0.7024, 0.0000, 0.2976]],
  "formation_energy_ev_per_atom": 0.0204,
  "energy_ev_per_fu": -45.7,
  "n_ef_per_ev_atom": 1.17,
  "spacegroup": "Cmmm (65)"
}



5.
{
  "formula": "HoCuAg",
  "functional": "GGA-PBE",
  "state": "optimized geometry",
  "lattice_angstrom": [[-2.9629, -1.8353, 0.8640], [1.0550, -2.7005, -2.1185], [3.1500, 0.3740, 4.1350]],
  "species": ["Ho", "Cu", "Ag"],
  "frac_coords": [[0.9453, 0.9453, 0.8906], [0.2793, 0.2793, 0.5586], [0.6254, 0.6254, 0.2508]],
  "formation_energy_ev_per_atom": -0.2351,
  "energy_ev_per_fu": -12.2,
  "polymorph_energy_mev_per_atom": 48,
  "n_ef_per_ev_atom": 0.31,
  "spacegroup": "I4mm (107)"
}



6.
{
  "formula": "Ho5Cu2Ag",
  "functional": "GGA-PBE",
  "state": "optimized geometry",
  "lattice_angstrom": [[-0.5111, 7.6919, 1.0894], [-3.2570, 0.7790, -7.0284], [-3.9432, -4.9932, 5.5859]],
  "species": ["Ho", "Ho", "Ho", "Ho", "Ho", "Ho", "Ho", "Ho", "Ho", "Ho", "Cu", "Cu", "Cu", "Cu", "Ag", "Ag"],
  "frac_coords": [[0.1988, 0.0170, 0.7158], [0.3012, 0.8012, 0.2842], [0.5170, 0.6988, 0.7158], [0.4830, 0.3012, 0.2842], [0.0000, 0.0000, 0.0000], [0.5000, 0.5000, 0.0000], [0.6988, 0.1988, 0.7158], [0.0170, 0.5170, 0.7158], [0.9830, 0.4830, 0.2842], [0.8012, 0.9830, 0.2842], [0.1258, 0.3742, 0.0000], [0.8742, 0.6258, 0.0000], [0.3742, 0.8742, 0.0000], [0.6258, 0.1258, 0.0000], [0.2500, 0.2500, 0.5000], [0.7500, 0.7500, 0.5000]],
  "formation_energy_ev_per_atom": -0.1792,
  "energy_ev_per_fu": -35.4,
  "n_ef_per_ev_atom": 1.17,
  "spacegroup": "I4/mcm (140)"
}



7.
{
  "formula": "Ho2Cu2Ag",
  "functional": "GGA-PBE",
  "state": "optimized geometry",
  "lattice_angstrom": [[-3.2798, -1.2717, -1.1258], [2.8050, -1.2575, -6.7518], [1.9414, -6.8506, 2.0824]],
  "species": ["Cu", "Cu", "Cu", "Cu", "Ho", "Ho", "Ho", "Ho", "Ag", "Ag"],
  "frac_coords": [[0.0000, 0.3805, 0.8805], [0.0000, 0.8805, 0.6195], [0.0000, 0.6195, 0.1195], [0.0000, 0.1195, 0.3805], [0.5000, 0.6765, 0.8235], [0.5000, 0.1765, 0.6765], [0.5000, 0.8235, 0.3235], [0.5000, 0.3235, 0.1765], [0.0000, 0.5000, 0.5000], [0.0000, 0.0000, 0.0000]],
  "formation_energy_ev_per_atom": -0.2802,
  "energy_ev_per_fu": -21.6,
  "n_ef_per_ev_atom": 0.68,
  "spacegroup": "P4/mbm (127)"
}



8.
{
  "formula": "HoCu8Ag3",
  "functional": "GGA-PBE",
  "state": "optimized geometry",
  "lattice_angstrom": [[4.7760, 0.0000, 1.4418], [2.1704, 4.2544, 1.4418], [-0.0139, -0.0085, 8.6774]],
  "species": ["Cu", "Cu", "Cu", "Cu", "Cu", "Cu", "Cu", "Cu", "Ag", "Ag", "Ag", "Ho"],
  "frac_coords": [[0.4391, 0.4391, 0.1810], [0.4350, 0.9371, 0.6908], [0.9371, 0.4350, 0.6908], [0.9408, 0.4391, 0.1810], [0.6879, 0.6879, 0.9362], [0.1873, 0.1873, 0.4381], [0.4391, 0.9408, 0.1810], [0.9371, 0.9371, 0.6908], [0.0016, 0.0016, 0.9952], [0.3750, 0.3750, 0.8750], [0.4951, 0.4951, 0.5148], [0.8749, 0.8749, 0.3753]],
  "formation_energy_ev_per_atom": -0.0688,
  "energy_ev_per_fu": -46.7,
  "n_ef_per_ev_atom": 0.63,
  "spacegroup": "R3m (160)"
}



9.
{
  "formula": "HoCuAg",
  "functional": "GGA-PBE",
  "state": "optimized geometry",
  "lattice_angstrom": [[-3.5266, -4.0302, 0.3464], [-0.5810, -0.0311, -6.2761], [5.5186, -4.6363, 2.2433]],
  "species": ["Ho", "Ho", "Ho", "Ho", "Cu", "Cu", "Cu", "Cu", "Ag", "Ag", "Ag", "Ag"],
  "frac_coords": [[0.8798, 0.3093, 0.1257], [0.1202, 0.6908, 0.8743], [0.6202, 0.3093, 0.6257], [0.3798, 0.6908, 0.3743], [0.1254, 0.3347, 0.4845], [0.8746, 0.6653, 0.5155], [0.6254, 0.6653, 0.0155], [0.3746, 0.3347, 0.9845], [0.5933, 0.9154, 0.7957], [0.0933, 0.0846, 0.7043], [0.9067, 0.9154, 0.2957], [0.4067, 0.0846, 0.2043]],
  "formation_energy_ev_per_atom": -0.2690,
  "energy_ev_per_fu": -12.3,
  "polymorph_energy_mev_per_atom": 14,
  "n_ef_per_ev_atom": 0.56,
  "spacegroup": "P2_1/c (14)"
}



10.
{
  "formula": "Ho3Cu2Ag",
  "functional": "GGA-PBE",
  "state": "optimized geometry",
  "lattice_angstrom": [[-2.1854, -1.4334, 2.3174], [2.6614, -1.7606, 1.4208], [1.7791, 8.0729, 6.6711]],
  "species": ["Cu", "Cu", "Ho", "Ho", "Ho", "Ag"],
  "frac_coords": [[0.5000, 0.5000, 0.8381], [0.5000, 0.5000, 0.1619], [0.0000, 0.0000, 0.6787], [0.0000, 0.0000, 0.0000], [0.0000, 0.0000, 0.3213], [0.5000, 0.5000, 0.5000]],
  "formation_energy_ev_per_atom": -0.2852,
  "energy_ev_per_fu": -26.5,
  "n_ef_per_ev_atom": 0.45,
  "spacegroup": "P4/mmm (123)"
}



11.
{
  "formula": "HoCuAg",
  "functional": "GGA-PBE",
  "state": "optimized geometry",
  "lattice_angstrom": [[-0.1646, 4.5252, -0.2661], [-3.8579, 2.0626, -1.1990], [-2.3545, 2.3683, 3.0697]],
  "species": ["Ag", "Ho", "Cu"],
  "frac_coords": [[0.5000, 0.5000, 0.5000], [0.0000, 0.0000, 0.0000], [0.2500, 0.2500, 0.2500]],
  "formation_energy_ev_per_atom": -0.0914,
  "energy_ev_per_fu": -11.8,
  "polymorph_energy_mev_per_atom": 192,
  "n_ef_per_ev_atom": 0.73,
  "spacegroup": "F-43m (216)"
}



12.
{
  "formula": "HoCu2Ag",
  "functional": "GGA-PBE",
  "state": "optimized geometry",
  "lattice_angstrom": [[4.6302, 0.0000, 0.0000], [2.3151, 4.0099, 0.0000], [2.3151, 1.3366, 3.7806]],
  "species": ["Ho", "Cu", "Cu", "Ag"],
  "frac_coords": [[0.0000, 0.0000, 0.0000], [0.2500, 0.2500, 0.2500], [0.7500, 0.7500, 0.7500], [0.5000, 0.5000, 0.5000]],
  "formation_energy_ev_per_atom": -0.1503,
  "energy_ev_per_fu": -16.2,
  "polymorph_energy_mev_per_atom": 0,
  "n_ef_per_ev_atom": 0.54,
  "spacegroup": "Fm-3m (225)"
}



13.
{
  "formula": "HoCuAg",
  "functional": "GGA-PBE",
  "state": "optimized geometry",
  "lattice_angstrom": [[-2.0234, -2.3822, 2.4774], [2.9044, -5.7007, 0.1008], [2.3654, -0.3473, 4.8083]],
  "species": ["Ag", "Ag", "Cu", "Cu", "Ho", "Ho"],
  "frac_coords": [[0.1743, 0.9167, 0.7348], [0.8257, 0.0833, 0.2652], [0.8614, 0.6617, 0.6154], [0.1386, 0.3383, 0.3846], [0.5566, 0.6982, 0.1886], [0.4434, 0.3018, 0.8114]],
  "formation_energy_ev_per_atom": -0.2832,
  "energy_ev_per_fu": -12.4,
  "polymorph_energy_mev_per_atom": 0,
  "n_ef_per_ev_atom": 0.48,
  "spacegroup": "C2/m (12)"
}



14.
{
  "formula": "Ho6CuAg2",
  "functional": "GGA-PBE",
  "state": "optimized geometry",
  "lattice_angstrom": [[-0.6650, 5.9566, -3.3873], [-4.7316, -3.0654, -4.4615], [-7.5142, 3.6352, 5.4714]],
  "species": ["Ho", "Ho", "Ho", "Ho", "Ho", "Ho", "Ho", "Ho", "Ho", "Ho", "Ho", "Ho", "Ag", "Ag", "Ag", "Ag", "Cu", "Cu"],
  "frac_coords": [[0.6941, 0.1743, 0.9487], [0.3059, 0.8257, 0.0513], [0.1941, 0.3257, 0.4487], [0.1410, 0.3158, 0.0621], [0.1543, 0.0183, 0.7505], [0.3590, 0.8158, 0.4379], [0.6410, 0.1842, 0.5621], [0.6543, 0.4817, 0.2505], [0.8457, 0.9817, 0.2495], [0.8590, 0.6842, 0.9379], [0.3457, 0.5183, 0.7495], [0.8059, 0.6743, 0.5513], [0.9365, 0.3828, 0.7355], [0.5635, 0.8828, 0.7645], [0.4365, 0.1172, 0.2355], [0.0635, 0.6172, 0.2645], [0.5000, 0.5000, 0.0000], [0.0000, 0.0000, 0.5000]],
  "formation_energy_ev_per_atom": -0.0804,
  "energy_ev_per_fu": -38.0,
  "n_ef_per_ev_atom": 1.19,
  "spacegroup": "P2_1/c (14)"
}



15.
{
  "formula": "Ho12Cu6Ag",
  "functional": "GGA-PBE",
  "state": "optimized geometry",
  "lattice_angstrom": [[1.1588, -7.4527, -3.7922], [7.4908, 3.6063, 1.4659], [-4.0426, -1.1652, 7.3189]],
  "species": ["Cu", "Cu", "Cu", "Cu", "Cu", "Cu", "Ho", "Ho", "Ho", "Ho", "Ho", "Ho", "Ho", "Ho", "Ho", "Ho", "Ho", "Ho", "Ag"],
  "frac_coords": [[0.3750, 0.5000, 0.8750], [0.5000, 0.8750, 0.3750], [0.1250, 0.6250, 0.5000], [0.6250, 0.5000, 0.1250], [0.5000, 0.1250, 0.6250], [0.8750, 0.3750, 0.5000], [0.7065, 0.5180, 0.8115], [0.8115, 0.7065, 0.5180], [0.4820, 0.1885, 0.2935], [0.2935, 0.1050, 0.8115], [0.2935, 0.4820, 0.1885], [0.7065, 0.8950, 0.1885], [0.1050, 0.8115, 0.2935], [0.1885, 0.7065, 0.8950], [0.8950, 0.1885, 0.7065], [0.8115, 0.2935, 0.1050], [0.1885, 0.2935, 0.4820], [0.5180, 0.8115, 0.7065], [0.0000, 0.0000, 0.0000]],
  "formation_energy_ev_per_atom": -0.1657,
  "energy_ev_per_fu": -85.5,
  "n_ef_per_ev_atom": 0.81,
  "spacegroup": "Im-3 (204)"
}



16.
{
  "formula": "Ho5Cu4Ag",
  "functional": "GGA-PBE",
  "state": "optimized geometry",
  "lattice_angstrom": [[-2.9013, -0.3371, 1.8570], [-1.5133, -1.6194, -2.6584], [5.7586, -15.5246, 6.1789]],
  "species": ["Cu", "Cu", "Cu", "Cu", "Ho", "Ho", "Ho", "Ho", "Ho", "Ag"],
  "frac_coords": [[0.0000, 0.0000, 0.2052], [0.0000, 0.0000, 0.5978], [0.0000, 0.0000, 0.4022], [0.0000, 0.0000, 0.7948], [0.5000, 0.5000, 0.3041], [0.5000, 0.5000, 0.5000], [0.5000, 0.5000, 0.6959], [0.5000, 0.5000, 0.1086], [0.5000, 0.5000, 0.8914], [0.0000, 0.0000, 0.0000]],
  "formation_energy_ev_per_atom": -0.2785,
  "energy_ev_per_fu": -44.9,
  "n_ef_per_ev_atom": 0.41,
  "spacegroup": "P4/mmm (123)"
}



17.
{
  "formula": "Ho2Cu2Ag3",
  "functional": "GGA-PBE",
  "state": "optimized geometry",
  "lattice_angstrom": [[-3.0148, -1.9990, 0.4896], [-0.3262, -0.4498, -3.8444], [5.6006, -7.8572, 2.4064]],
  "species": ["Cu", "Cu", "Ho", "Ho", "Ag", "Ag", "Ag"],
  "frac_coords": [[0.5000, 0.7126, 0.4252], [0.5000, 0.2874, 0.5748], [0.0000, 0.8413, 0.6826], [0.0000, 0.1587, 0.3174], [0.5000, 0.4278, 0.8555], [0.5000, 0.5722, 0.1445], [0.0000, 0.0000, 0.0000]],
  "formation_energy_ev_per_atom": -0.2260,
  "energy_ev_per_fu": -27.5,
  "n_ef_per_ev_atom": 0.38,
  "spacegroup": "Cmmm (65)"
}



18.
{
  "formula": "Ho4CuAg3",
  "functional": "GGA-PBE",
  "state": "optimized geometry",
  "lattice_angstrom": [[3.5717, 0.0000, 0.0000], [0.0000, 3.5717, 0.0000], [0.0000, 0.0000, 14.4036]],
  "species": ["Ag", "Ag", "Ag", "Ho", "Ho", "Ho", "Ho", "Cu"],
  "frac_coords": [[0.5000, 0.5000, 0.5000], [0.5000, 0.5000, 0.7551], [0.5000, 0.5000, 0.2449], [0.0000, 0.0000, 0.3720], [0.0000, 0.0000, 0.6280], [0.0000, 0.0000, 0.1155], [0.0000, 0.0000, 0.8845], [0.5000, 0.5000, 0.0000]],
  "formation_energy_ev_per_atom": -0.3080,
  "energy_ev_per_fu": -33.4,
  "n_ef_per_ev_atom": 0.65,
  "spacegroup": "P4/mmm (123)"
}



19.
{
  "formula": "HoCuAg",
  "functional": "GGA-PBE",
  "state": "optimized geometry",
  "lattice_angstrom": [[3.4373, 0.0000, 0.0000], [0.0000, 4.5143, 0.0000], [0.0000, -2.2572, 3.9095]],
  "species": ["Ho", "Cu", "Ag"],
  "frac_coords": [[0.6668, 0.6667, 0.3333], [0.1662, 0.3333, 0.6667], [0.1669, 0.0000, 0.0000]],
  "formation_energy_ev_per_atom": -0.2295,
  "energy_ev_per_fu": -12.2,
  "polymorph_energy_mev_per_atom": 54,
  "n_ef_per_ev_atom": 0.53,
  "spacegroup": "P-6m2 (187)"
}



20.
{
  "formula": "Ho4Cu3Ag",
  "functional": "GGA-PBE",
  "state": "optimized geometry",
  "lattice_angstrom": [[3.4932, 0.0000, 0.0000], [0.0000, 4.9603, 0.0000], [0.0000, 0.0000, 9.8824]],
  "species": ["Ag", "Ho", "Ho", "Ho", "Ho", "Cu", "Cu", "Cu"],
  "frac_coords": [[0.5000, 0.5000, 0.0000], [0.0000, 0.0000, 0.0000], [0.0000, 0.5000, 0.7404], [0.0000, 0.0000, 0.5000], [0.0000, 0.5000, 0.2596], [0.5000, 0.0000, 0.2506], [0.5000, 0.0000, 0.7494], [0.5000, 0.5000, 0.5000]],
  "formation_energy_ev_per_atom": -0.2706,
  "energy_ev_per_fu": -35.6,
  "polymorph_energy_mev_per_atom": 0,
  "n_ef_per_ev_atom": 0.57,
  "spacegroup": "Pmmm (47)"
}



21.
{
  "formula": "HoCu10Ag",
  "functional": "GGA-PBE",
  "state": "optimized geometry",
  "lattice_angstrom": [[4.0939, 0.0000, 0.0000], [0.0000, 4.9379, 0.0000], [0.0000, 0.0000, 8.5480]],
  "species": ["Cu", "Cu", "Cu", "Cu", "Cu", "Cu", "Cu", "Cu", "Cu", "Cu", "Ag", "Ho"],
  "frac_coords": [[0.5000, 0.5000, 0.0000], [0.5000, 0.2476, 0.2498], [0.0000, 0.5000, 0.8198], [0.5000, 0.2476, 0.7502], [0.5000, 0.7524, 0.2498], [0.5000, 0.7524, 0.7502], [0.5000, 0.0000, 0.5000], [0.0000, 0.0000, 0.6580], [0.0000, 0.0000, 0.3420], [0.0000, 0.5000, 0.1802], [0.0000, 0.5000, 0.5000], [0.0000, 0.0000, 0.0000]],
  "formation_energy_ev_per_atom": -0.0389,
  "energy_ev_per_fu": -48.9,
  "n_ef_per_ev_atom": 0.45,
  "spacegroup": "Pmmm (47)"
}



22.
{
  "formula": "HoCu8Ag3",
  "functional": "GGA-PBE",
  "state": "optimized geometry",
  "lattice_angstrom": [[5.0006, 0.0000, 0.0000], [-2.5003, 4.3307, 0.0000], [0.0000, 0.0000, 8.1342]],
  "species": ["Cu", "Cu", "Cu", "Cu", "Cu", "Cu", "Cu", "Cu", "Ag", "Ag", "Ag", "Ho"],
  "frac_coords": [[0.6687, 0.8344, 0.2463], [0.1656, 0.8344, 0.2463], [0.5022, 0.4978, 0.7549], [0.1656, 0.3313, 0.2463], [0.9956, 0.4978, 0.7549], [0.5022, 0.0044, 0.7549], [0.3333, 0.6667, 0.4989], [0.3333, 0.6667, 0.9982], [0.6667, 0.3333, 0.4284], [0.0000, 0.0000, 0.9463], [0.6667, 0.3333, 0.0603], [0.0000, 0.0000, 0.5642]],
  "formation_energy_ev_per_atom": -0.0684,
  "energy_ev_per_fu": -46.7,
  "n_ef_per_ev_atom": 0.49,
  "spacegroup": "P3m1 (156)"
}